[1]
Entry from the Alexandria database: an optimized crystal structure of Nb2BiSb2 (GGA-PBE).

Results
Magnetic moment: 0.00 Bohr magnetons per cell
Formation energy from raw total energies: -0.01 eV per atom
Total DFT energy (no corrections): -6.462 eV/atom

Structure (CIF):
```
data_Nb2BiSb2
_cell_length_a 8.0629
_cell_length_b 8.0629
_cell_length_c 3.4693
_cell_angle_alpha 90.00
_cell_angle_beta 90.00
_cell_angle_gamma 90.00
_symmetry_space_group_name_H-M 'P 4/m b m'
_symmetry_Int_Tables_number 127
_symmetry_space_group_name_Hall '-P 4 2ab'
loop_
_atom_site_label
_atom_site_type_symbol
_atom_site_fract_x
_atom_site_fract_y
_atom_site_fract_z
_atom_site_occupancy
Nb1 Nb 0.1438 0.3562 0.0000 1
Bi1 Bi 0.0000 0.0000 0.0000 1
Sb1 Sb 0.1444 0.6444 0.5000 1
```


[2]
Entry from the Alexandria database: an optimized crystal structure of Nb2BiSb (GGA-PBE).

Results
Magnetic moment: 0.00 Bohr magnetons per cell
Formation energy from raw total energies: 0.52 eV per atom
Total DFT energy (no corrections): -6.515 eV/atom
Energy above the lowest structure with this stoichiometry: 0.398 eV per atom

Structure (CIF):
```
data_Nb2BiSb
_cell_length_a 4.3266
_cell_length_b 4.3266
_cell_length_c 20.1696
_cell_angle_alpha 90.00
_cell_angle_beta 90.00
_cell_angle_gamma 90.00
_symmetry_space_group_name_H-M 'I -4 2 d'
_symmetry_Int_Tables_number 122
_symmetry_space_group_name_Hall 'I -4 2bw'
loop_
_atom_site_label
_atom_site_type_symbol
_atom_site_fract_x
_atom_site_fract_y
_atom_site_fract_z
_atom_site_occupancy
Nb1 Nb 0.2265 0.2500 0.1250 1
Bi1 Bi 0.0000 0.0000 0.5000 1
Sb1 Sb 0.0000 0.0000 0.0000 1
```